[1]
A plane-wave DFT calculation with PBE was carried out for GaSbTe2 after structural relaxation.

a = 4.3391 Å, b = 4.3391 Å, c = 8.2818 Å
α = 74.81°, β = 74.81°, γ = 60.00°
With the nearest neighbours (Å) after each atom.
Atoms (fractional coordinates):
Ga: 0.4890 0.4890 0.5331  3 Te 3.04
Sb: 0.6670 0.6670 0.9989  6 Te 3.04-3.18
Te: 0.0831 0.0831 0.7507  3 Ga 3.04, 3 Sb 3.18
Te: 0.2609 0.2609 0.2173  3 Sb 3.04

Energy: -3.47 eV/atom
Crystal system: trigonal
Uncorrected formation energy: -108.7 meV/atom

***

[2]
A plane-wave DFT calculation with PBE was carried out for Ga2SbTe2 after structural relaxation.

a = 8.3976 Å, b = 8.3976 Å, c = 4.0379 Å
α = 90.00°, β = 90.00°, γ = 90.00°
With the nearest neighbours (Å) after each atom.
Atoms (fractional coordinates):
Sb: 0.0000 0.0000 0.0000  4 Te 3.08
Sb: 0.5000 0.5000 0.0000  4 Te 3.08
Te: 0.3193 0.8193 0.0000  6 Ga 3.05-3.31, 2 Sb 3.08
Te: 0.8193 0.6807 0.0000  6 Ga 3.05-3.31, 2 Sb 3.08
Te: 0.6807 0.1807 0.0000  6 Ga 3.05-3.31, 2 Sb 3.08
Te: 0.1807 0.3193 0.0000  6 Ga 3.05-3.31, 2 Sb 3.08
Ga: 0.1264 0.6264 0.5000  1 Ga 3.00, 6 Te 3.05-3.31
Ga: 0.6264 0.8736 0.5000  1 Ga 3.00, 6 Te 3.05-3.31
Ga: 0.8736 0.3736 0.5000  1 Ga 3.00, 6 Te 3.05-3.31
Ga: 0.3736 0.1264 0.5000  1 Ga 3.00, 6 Te 3.05-3.31

Energy: -3.27 eV/atom
Density of states at the Fermi level: 2.05 states/eV/f.u.
Crystal system: tetragonal
Uncorrected formation energy: 25.6 meV/atom

***

[3]
A plane-wave DFT calculation with PBE was carried out for GaSb3Te after structural relaxation.

a = 5.7738 Å, b = 5.7738 Å, c = 5.7738 Å
α = 90.00°, β = 90.00°, γ = 90.00°
With the nearest neighbours (Å) after each atom.
Atoms (fractional coordinates):
Sb: 0.0000 0.5000 0.0000  2 Te 2.89
Sb: 0.0000 0.0000 0.5000  2 Te 2.89
Sb: 0.5000 0.0000 0.0000  2 Te 2.89
Te: 0.0000 0.0000 0.0000  6 Sb 2.89
Ga: 0.5000 0.5000 0.5000  12 Sb 4.08

Energy: -2.89 eV/atom
Density of states at the Fermi level: 9.62 states/eV/f.u.
Crystal system: cubic
Uncorrected formation energy: 817.6 meV/atom

***

[4]
A plane-wave DFT calculation with PBE was carried out for GaSbTe2 after structural relaxation.

a = 5.3599 Å, b = 5.3599 Å, c = 5.3599 Å
α = 60.00°, β = 60.00°, γ = 60.00°
With the nearest neighbours (Å) after each atom.
Atoms (fractional coordinates):
Sb: 0.5000 0.5000 0.5000  8 Te 3.28
Te: 0.2500 0.2500 0.2500  4 Sb 3.28, 4 Ga 3.28
Te: 0.7500 0.7500 0.7500  4 Sb 3.28, 4 Ga 3.28
Ga: 0.0000 0.0000 0.0000  8 Te 3.28

Energy: -3.24 eV/atom
Density of states at the Fermi level: 2.62 states/eV/f.u.
Crystal system: cubic
Uncorrected formation energy: 122.6 meV/atom

***

[5]
A plane-wave DFT calculation with PBE was carried out for Ga2SbTe after structural relaxation.

a = 3.9983 Å, b = 3.9983 Å, c = 7.6698 Å
α = 74.89°, β = 74.89°, γ = 60.00°
With the nearest neighbours (Å) after each atom.
Atoms (fractional coordinates):
Ga: 0.0811 0.0811 0.7567  3 Sb 2.88, 3 Te 2.93
Ga: 0.2534 0.2534 0.2399  3 Sb 2.93, 3 Te 3.04
Sb: 0.6692 0.6692 0.9923  6 Ga 2.88-2.93
Te: 0.4963 0.4963 0.5111  6 Ga 2.93-3.04

Energy: -3.36 eV/atom
Density of states at the Fermi level: 1.37 states/eV/f.u.
Crystal system: trigonal
Uncorrected formation energy: -29.7 meV/atom

***

[6]
A plane-wave DFT calculation with PBE was carried out for Ga2SbTe after structural relaxation.

a = 5.1613 Å, b = 5.1613 Å, c = 5.1613 Å
α = 60.00°, β = 60.00°, γ = 60.00°
With the nearest neighbours (Å) after each atom.
Atoms (fractional coordinates):
Sb: 0.0000 0.0000 0.0000  8 Ga 3.16
Te: 0.5000 0.5000 0.5000  8 Ga 3.16
Ga: 0.2500 0.2500 0.2500  4 Sb 3.16, 4 Te 3.16
Ga: 0.7500 0.7500 0.7500  4 Sb 3.16, 4 Te 3.16

Energy: -3.22 eV/atom
Density of states at the Fermi level: 2.30 states/eV/f.u.
Crystal system: cubic
Uncorrected formation energy: 110.0 meV/atom

***

[7]
A plane-wave DFT calculation with PBE was carried out for Ga2SbTe after structural relaxation.

a = 6.4434 Å, b = 6.4434 Å, c = 7.8572 Å
α = 65.79°, β = 65.79°, γ = 90.00°
With the nearest neighbours (Å) after each atom.
Atoms (fractional coordinates):
Sb: 0.5000 0.5000 0.0000  4 Ga 2.74
Sb: 0.2500 0.7500 0.5000  4 Ga 2.74
Te: 0.0000 0.0000 0.0000  4 Ga 2.83
Te: 0.7500 0.2500 0.5000  4 Ga 2.83
Ga: 0.6134 0.1250 0.2500  2 Sb 2.74, 2 Te 2.83
Ga: 0.1366 0.6250 0.2500  2 Sb 2.74, 2 Te 2.83
Ga: 0.3750 0.3866 0.7500  2 Sb 2.74, 2 Te 2.83
Ga: 0.8750 0.8634 0.7500  2 Sb 2.74, 2 Te 2.83

Energy: -3.41 eV/atom
Density of states at the Fermi level: 1.97 states/eV/f.u.
Crystal system: tetragonal
Uncorrected formation energy: -84.4 meV/atom

***

[8]
A plane-wave DFT calculation with PBE was carried out for Ga2SbTe after structural relaxation.

a = 4.0982 Å, b = 4.0982 Å, c = 7.2670 Å
α = 73.62°, β = 73.62°, γ = 60.00°
With the nearest neighbours (Å) after each atom.
Atoms (fractional coordinates):
Sb: 0.0000 0.0000 0.0000  6 Ga 2.89
Te: 0.5000 0.5000 0.5000  6 Ga 2.96
Ga: 0.2531 0.2531 0.2407  3 Sb 2.89, 3 Te 2.96
Ga: 0.7469 0.7469 0.7593  3 Sb 2.89, 3 Te 2.96

Energy: -3.42 eV/atom
Density of states at the Fermi level: 1.20 states/eV/f.u.
Crystal system: trigonal
Uncorrected formation energy: -86.9 meV/atom

***

[9]
A plane-wave DFT calculation with PBE was carried out for GaSb4Te7 after structural relaxation.

a = 4.3140 Å, b = 4.3140 Å, c = 23.9716 Å
α = 90.00°, β = 90.00°, γ = 120.00°
With the nearest neighbours (Å) after each atom.
Atoms (fractional coordinates):
Ga: 0.0000 0.0000 0.5000  6 Te 3.00
Sb: 0.6667 0.3333 0.0835  6 Te 3.03-3.20
Sb: 0.3333 0.6667 0.9165  6 Te 3.03-3.20
Sb: 0.6667 0.3333 0.3473  6 Te 3.03-3.19
Sb: 0.3333 0.6667 0.6527  6 Te 3.03-3.19
Te: 0.0000 0.0000 0.0000  6 Sb 3.20
Te: 0.6667 0.3333 0.5698  3 Ga 3.00, 3 Sb 3.19
Te: 0.3333 0.6667 0.4302  3 Ga 3.00, 3 Sb 3.19
Te: 0.6667 0.3333 0.8446  3 Sb 3.03
Te: 0.3333 0.6667 0.1554  3 Sb 3.03
Te: 0.0000 0.0000 0.2753  3 Sb 3.03
Te: 0.0000 0.0000 0.7247  3 Sb 3.03

Energy: -3.59 eV/atom
Density of states at the Fermi level: 5.60 states/eV/f.u.
Crystal system: trigonal
Uncorrected formation energy: -129.9 meV/atom

***

[10]
A plane-wave DFT calculation with PBE was carried out for GaSbTe2 after structural relaxation.

a = 7.7743 Å, b = 7.7743 Å, c = 6.9396 Å
α = 55.93°, β = 55.93°, γ = 90.00°
With the nearest neighbours (Å) after each atom.
Atoms (fractional coordinates):
Sb: 0.0000 0.0000 0.0000  4 Te 3.04
Sb: 0.7500 0.2500 0.5000  4 Te 3.04
Te: 0.6061 0.1250 0.2500  2 Ga 2.85, 2 Sb 3.04
Te: 0.1439 0.6250 0.2500  2 Ga 2.85, 2 Sb 3.04
Te: 0.3750 0.3939 0.7500  2 Ga 2.85, 2 Sb 3.04
Te: 0.8750 0.8561 0.7500  2 Ga 2.85, 2 Sb 3.04
Ga: 0.5000 0.5000 0.0000  4 Te 2.85
Ga: 0.2500 0.7500 0.5000  4 Te 2.85

Energy: -3.32 eV/atom
Density of states at the Fermi level: 1.49 states/eV/f.u.
Crystal system: tetragonal
Uncorrected formation energy: 36.6 meV/atom

***

[11]
A plane-wave DFT calculation with PBE was carried out for GaSbTe3 after structural relaxation.

a = 5.3467 Å, b = 5.3467 Å, c = 5.3467 Å
α = 90.00°, β = 90.00°, γ = 90.00°
With the nearest neighbours (Å) after each atom.
Atoms (fractional coordinates):
Sb: 0.5000 0.5000 0.5000  12 Te 3.78
Te: 0.0000 0.5000 0.0000  2 Ga 2.67
Te: 0.0000 0.0000 0.5000  2 Ga 2.67
Te: 0.5000 0.0000 0.0000  2 Ga 2.67
Ga: 0.0000 0.0000 0.0000  6 Te 2.67

Energy: -2.92 eV/atom
Density of states at the Fermi level: 5.42 states/eV/f.u.
Crystal system: cubic
Uncorrected formation energy: 392.8 meV/atom

***

[12]
A plane-wave DFT calculation with PBE was carried out for GaSbTe3 after structural relaxation.

a = 5.7969 Å, b = 5.7969 Å, c = 5.7969 Å
α = 90.00°, β = 90.00°, γ = 90.00°
With the nearest neighbours (Å) after each atom.
Atoms (fractional coordinates):
Sb: 0.0000 0.0000 0.0000  6 Te 2.90
Te: 0.0000 0.5000 0.0000  2 Sb 2.90
Te: 0.0000 0.0000 0.5000  2 Sb 2.90
Te: 0.5000 0.0000 0.0000  2 Sb 2.90
Ga: 0.5000 0.5000 0.5000  12 Te 4.10

Energy: -2.93 eV/atom
Density of states at the Fermi level: 6.19 states/eV/f.u.
Crystal system: cubic
Uncorrected formation energy: 388.0 meV/atom